# ThPaPt3

A relaxed ThPaPt3 crystal (PBE, the Alexandria database).

Geometry as POSCAR:
```
ThPaPt3
1.0
4.343 0.000 0.000
0.000 6.321 0.000
0.000 0.000 8.280
Th Pa Pt
2 2 6
direct
0.250 0.250 0.123 Th
0.750 0.750 0.877 Th
0.250 0.750 0.459 Pa
0.750 0.250 0.541 Pa
0.250 0.028 0.717 Pt
0.250 0.472 0.717 Pt
0.250 0.750 0.118 Pt
0.750 0.250 0.882 Pt
0.750 0.528 0.283 Pt
0.750 0.972 0.283 Pt
```

# ThPa2Pt3

A relaxed ThPa2Pt3 crystal (PBE, the Alexandria database).

Geometry as POSCAR:
```
ThPa2Pt3
1.0
3.948 -12.873 0.000
3.948 12.873 0.000
-3.165 0.000 5.781
Th Pa Pt
4 8 12
direct
0.042 0.958 0.750 Th
0.208 0.792 0.750 Th
0.792 0.208 0.250 Th
0.958 0.042 0.250 Th
0.124 0.876 0.250 Pa
0.291 0.709 0.250 Pa
0.374 0.626 0.750 Pa
0.459 0.541 0.250 Pa
0.541 0.459 0.750 Pa
0.626 0.374 0.250 Pa
0.709 0.291 0.750 Pa
0.876 0.124 0.750 Pa
0.043 0.456 0.760 Pt
0.135 0.385 0.251 Pt
0.216 0.303 0.760 Pt
0.303 0.216 0.260 Pt
0.385 0.135 0.751 Pt
0.456 0.043 0.260 Pt
0.544 0.957 0.740 Pt
0.615 0.865 0.249 Pt
0.697 0.784 0.740 Pt
0.784 0.697 0.240 Pt
0.865 0.615 0.749 Pt
0.957 0.544 0.240 Pt
```

| no. | formation enthalpy at 0 K (eV/atom) | V (Å³ per atom) |
| --- | --- | --- |
| 1 | -1.073 | 22.7 |
| 2 | -0.936 | 24.5 |